Material: LiNd2Ga4Ir3
Method: DFT, GGA-PBE
State: optimized geometry

The structure in POSCAR format:
```
LiNd2Ga4Ir3
1.0
-1.352 2.281 -3.444
-3.449 -2.618 -0.380
-5.272 6.060 6.083
Ir Ga Li Nd
3 4 1 2
direct
0.000 0.500 0.133
0.500 0.000 0.867
0.000 0.000 0.500
0.500 0.500 0.000
0.000 0.500 0.378
0.500 0.000 0.622
0.000 0.000 0.000
0.500 0.500 0.500
0.000 0.500 0.752
0.500 0.000 0.248
```

Summary:
Energy relative to the elements in eV/atom: -0.63
Space-group type: P-4m2, No. 115
DOS(E_F) in states/eV per cell: 8.3

=====

Material: ErGePdPt
Method: DFT, GGA-PBE
State: optimized geometry

The structure in POSCAR format:
```
ErGePdPt
1.0
-3.613 -2.947 -0.396
-0.481 -3.533 3.030
-3.446 0.084 3.165
Ge Pd Pt Er
1 1 1 1
direct
0.250 0.250 0.250
0.000 0.000 0.000
0.500 0.500 0.500
0.750 0.750 0.750
```

Summary:
Energy relative to the elements in eV/atom: -0.80
Space-group type: F-43m, No. 216
DOS(E_F) in states/eV per cell: 1.6

=====

Material: La2BePb2
Method: DFT, GGA-PBE
State: optimized geometry

The structure in POSCAR format:
```
La2BePb2
1.0
-7.413 -3.326 -0.288
1.052 -2.993 7.485
-1.887 4.042 1.882
La Pb Be
4 4 2
direct
0.832 0.668 0.000
0.668 0.168 0.000
0.168 0.332 0.000
0.332 0.832 0.000
0.362 0.138 0.500
0.862 0.362 0.500
0.138 0.638 0.500
0.638 0.862 0.500
0.500 0.500 0.000
0.000 0.000 0.000
```

Summary:
Energy relative to the elements in eV/atom: 0.01
Space-group type: P4/mbm, No. 127
DOS(E_F) in states/eV per cell: 7.4
Energy relative to the lowest polymorph listed for this composition in meV/atom: 203

=====

Material: Pm4BAsBr2
Method: DFT, GGA-PBE
State: optimized geometry

The structure in POSCAR format:
```
Pm4BAsBr2
1.0
4.089 0.000 0.000
0.000 7.204 0.152
0.000 -2.496 7.216
As Pm Br B
1 4 2 1
direct
0.500 0.500 0.000
0.000 0.759 0.202
0.500 0.791 0.805
0.500 0.209 0.195
0.000 0.241 0.798
0.500 0.000 0.500
0.000 0.500 0.500
0.000 0.000 0.000
```

Summary:
Energy relative to the elements, uncorrected in eV per atom: -1.1181
Space-group type: P2/m, No. 10
DOS(E_F) in states/eV per cell: 3.5

=====

Material: Dy4PdPt
Method: DFT, GGA-PBE
State: optimized geometry

The structure in POSCAR format:
```
Dy4PdPt
1.0
6.941 0.000 0.076
0.000 6.931 0.000
-0.027 0.000 6.935
Pt Dy Pd
2 8 2
direct
0.000 0.000 0.000
0.500 0.500 0.000
0.168 0.334 0.836
0.668 0.166 0.836
0.162 0.836 0.666
0.832 0.666 0.164
0.662 0.664 0.666
0.332 0.834 0.164
0.338 0.336 0.334
0.838 0.164 0.334
0.000 0.500 0.500
0.500 0.000 0.500
```

Summary:
Energy relative to the elements in eV/atom: -0.66
Space-group type: P2_1/c, No. 14
DOS(E_F) in states/eV per cell: 11.8

=====

Material: SrAs12Os4
Method: DFT, GGA-PBE
State: optimized geometry

The structure in POSCAR format:
```
SrAs12Os4
1.0
0.691 1.254 -7.353
-1.481 -7.249 1.168
-5.598 4.164 2.728
As Sr Os
12 1 4
direct
0.500 0.150 0.350
0.350 0.200 0.850
0.350 0.500 0.150
0.650 0.800 0.150
0.850 0.350 0.200
0.650 0.500 0.850
0.200 0.850 0.350
0.800 0.150 0.650
0.150 0.350 0.500
0.500 0.850 0.650
0.150 0.650 0.800
0.850 0.650 0.500
0.000 0.000 0.000
0.500 0.500 0.500
0.000 0.000 0.500
0.000 0.500 0.000
0.500 0.000 0.000
```

Summary:
Energy relative to the elements in eV/atom: -0.29
Space-group type: Im-3, No. 204
DOS(E_F) in states/eV per cell: 17.2

=====

Material: Bi8Rh3Se2
Method: DFT, GGA-PBE
State: optimized geometry

The structure in POSCAR format:
```
Bi8Rh3Se2
1.0
4.726 0.000 0.000
0.000 8.608 -5.578
0.000 -0.811 9.710
Se Bi Rh
2 8 3
direct
0.500 0.236 0.563
0.500 0.764 0.437
0.500 0.368 0.226
0.000 0.865 0.791
0.500 0.875 0.197
0.000 0.135 0.209
0.500 0.125 0.803
0.000 0.623 0.213
0.500 0.632 0.774
0.000 0.377 0.787
0.000 0.725 0.997
0.500 0.000 0.000
0.000 0.275 0.003
```

Summary:
Energy relative to the elements, uncorrected in eV per atom: -0.1183
Space-group type: P2/m, No. 10
DOS(E_F) in states/eV per cell: 6.5

=====

Material: Ag3SbW
Method: DFT, GGA-PBE
State: optimized geometry

The structure in POSCAR format:
```
Ag3SbW
1.0
-1.682 -3.198 -3.572
4.046 -2.979 0.762
-2.574 -2.592 3.532
Ag Sb W
3 1 1
direct
0.000 0.000 0.500
0.500 0.000 0.000
0.000 0.500 0.000
0.500 0.500 0.500
0.000 0.000 0.000
```

Summary:
Energy relative to the elements, uncorrected in eV per atom: 1.6318
Space-group type: Pm-3m, No. 221
DOS(E_F) in states/eV per cell: 5.2
Energy relative to the lowest polymorph listed for this composition in meV/atom: 39

=====

Material: ScS3I
Method: DFT, GGA-PBE
State: optimized geometry

The structure in POSCAR format:
```
ScS3I
1.0
-2.662 0.708 -4.133
3.981 -1.111 -2.755
-1.317 -4.789 0.028
I Sc S
1 1 3
direct
0.500 0.500 0.500
0.000 0.000 0.000
0.000 0.500 0.000
0.500 0.000 0.000
0.000 0.000 0.500
```

Summary:
Energy relative to the elements, uncorrected in eV per atom: -0.1957
Space-group type: Pm-3m, No. 221
DOS(E_F) in states/eV per cell: 6.9
Energy relative to the lowest polymorph listed for this composition in meV/atom: 0

=====

Material: Dy3Ag3SbSe8
Method: DFT, GGA-PBE
State: optimized geometry

The structure in POSCAR format:
```
Dy3Ag3SbSe8
1.0
8.268 0.000 0.000
-4.134 7.158 -0.033
0.000 -4.758 6.567
Se Ag Dy Sb
8 3 3 1
direct
0.243 0.487 0.742
0.757 0.001 0.258
0.756 0.999 0.742
0.748 0.496 0.743
0.243 0.999 0.742
0.757 0.513 0.258
0.244 0.001 0.258
0.252 0.504 0.257
0.500 0.500 0.000
0.000 0.000 0.000
0.000 0.500 0.000
0.000 0.500 0.500
0.500 0.500 0.500
0.500 0.000 0.500
0.000 0.000 0.500
```

Summary:
Energy relative to the elements, uncorrected in eV per atom: -0.9591
Space-group type: C2/m, No. 12
DOS(E_F) in states/eV per cell: 4.0

=====

Material: PmRuW
Method: DFT, GGA-PBE
State: optimized geometry

The structure in POSCAR format:
```
PmRuW
1.0
3.154 0.000 0.000
0.000 3.154 0.000
-1.577 -1.577 12.419
Ru W Pm
2 2 2
direct
0.158 0.158 0.317
0.842 0.842 0.683
0.284 0.284 0.569
0.716 0.716 0.431
0.429 0.429 0.858
0.571 0.571 0.142
```

Summary:
Energy relative to the elements in eV/atom: 0.05
Space-group type: I4/mmm, No. 139
DOS(E_F) in states/eV per cell: 4.0

=====

Material: Ce3Tl
Method: DFT, GGA-PBE
State: optimized geometry

The structure in POSCAR format:
```
Ce3Tl
1.0
-3.499 -0.228 -3.313
-3.304 -0.251 3.506
-0.338 4.812 0.025
Ce Tl
3 1
direct
0.500 0.000 0.500
0.500 0.500 0.000
0.000 0.500 0.500
0.000 0.000 0.000
```

Summary:
Energy relative to the elements in eV/atom: -0.12
Space-group type: Pm-3m, No. 221
DOS(E_F) in states/eV per cell: 12.8

=====

> Look up the DOS(E_F) of the seventh one.

6.5 states/eV per cell

=====

> Among the records above, which one has the lowest DOS(E_F)?

ErGePdPt

=====

> DOS(E_F) of number 5 (Dy4PdPt)?

11.8 states/eV per cell

=====

Copy entry 6 word for word.
Material: SrAs12Os4
Method: DFT, GGA-PBE
State: optimized geometry

The structure in POSCAR format:
```
SrAs12Os4
1.0
0.691 1.254 -7.353
-1.481 -7.249 1.168
-5.598 4.164 2.728
As Sr Os
12 1 4
direct
0.500 0.150 0.350
0.350 0.200 0.850
0.350 0.500 0.150
0.650 0.800 0.150
0.850 0.350 0.200
0.650 0.500 0.850
0.200 0.850 0.350
0.800 0.150 0.650
0.150 0.350 0.500
0.500 0.850 0.650
0.150 0.650 0.800
0.850 0.650 0.500
0.000 0.000 0.000
0.500 0.500 0.500
0.000 0.000 0.500
0.000 0.500 0.000
0.500 0.000 0.000
```

Summary:
Energy relative to the elements in eV/atom: -0.29
Space-group type: Im-3, No. 204
DOS(E_F) in states/eV per cell: 17.2